Record 1
{"formula": "TaMnCu2", "functional": "GGA-PBE", "state": "relaxed", "cell": [[-0.7053, -3.1510, -1.3471], [3.0852, -1.1825, 1.1507], [-2.8129, -4.7320, 7.9979]], "species": ["Mn", "Mn", "Cu", "Cu", "Cu", "Cu", "Ta", "Ta"], "frac_coords": [[0.5000, 0.5000, 0.0000], [0.2500, 0.7500, 0.5000], [0.6114, 0.1250, 0.2500], [0.1386, 0.6250, 0.2500], [0.3750, 0.3886, 0.7500], [0.8750, 0.8614, 0.7500], [0.0000, 0.0000, 0.0000], [0.7500, 0.2500, 0.5000]], "total_magnetization_mub_per_fu": 1.01, "formation_energy_ev_per_fu": 2.01, "de_polymorph_mev_per_atom": 413.9, "n_ef_per_ev_atom": 0.83, "sg": "I-42d, No. 122"}

Record 2
{"formula": "Pr2NdSmTm", "functional": "GGA-PBE", "state": "relaxed", "cell": [[6.7213, 0.0000, 0.0000], [0.0000, 8.2542, 1.3455], [0.0000, -1.1446, 6.1738]], "species": ["Pr", "Pr", "Pr", "Pr", "Nd", "Nd", "Sm", "Sm", "Tm", "Tm"], "frac_coords": [[0.6940, 0.6921, 0.7577], [0.6940, 0.3079, 0.7423], [0.3060, 0.6921, 0.2577], [0.3060, 0.3079, 0.2423], [0.0000, 0.0000, 0.0000], [0.0000, 0.0000, 0.5000], [0.5727, 0.0000, 0.2500], [0.4273, 0.0000, 0.7500], [0.1588, 0.5000, 0.7500], [0.8412, 0.5000, 0.2500]], "total_magnetization_mub_per_fu": 0.00, "formation_energy_ev_per_fu": 1.32, "n_ef_per_ev_atom": 1.24, "sg": "P2/c, No. 13"}

Record 3
{"formula": "ZrAgHgPd", "functional": "GGA-PBE", "state": "relaxed", "cell": [[4.7385, 0.0000, 0.0000], [2.3693, 4.1037, 0.0000], [2.3693, 1.3679, 3.8690]], "species": ["Zr", "Pd", "Hg", "Ag"], "frac_coords": [[0.0000, 0.0000, 0.0000], [0.7500, 0.7500, 0.7500], [0.5000, 0.5000, 0.5000], [0.2500, 0.2500, 0.2500]], "total_magnetization_mub_per_fu": 0.00, "formation_energy_ev_per_fu": -0.96, "n_ef_per_ev_atom": 0.90, "sg": "F-43m, No. 216"}

Record 4
{"formula": "PaFeAu", "functional": "GGA-PBE", "state": "relaxed", "cell": [[3.5907, 0.0000, 0.0000], [0.0000, 3.4194, -0.7932], [0.0000, 0.2594, 8.8850]], "species": ["Pa", "Pa", "Fe", "Fe", "Au", "Au"], "frac_coords": [[0.2500, 0.9072, 0.8143], [0.7500, 0.0928, 0.1857], [0.2500, 0.5561, 0.1123], [0.7500, 0.4439, 0.8877], [0.7500, 0.2907, 0.5813], [0.2500, 0.7093, 0.4187]], "total_magnetization_mub_per_fu": 0.00, "formation_energy_ev_per_fu": -1.06, "n_ef_per_ev_atom": 0.81, "sg": "Cmcm, No. 63"}

Record 5
{"formula": "K2TaIrF", "functional": "GGA-PBE", "state": "relaxed", "cell": [[-1.0568, 6.3514, -1.7546], [-0.4715, -1.1205, -3.7723], [-6.5413, -0.7972, 1.0544]], "species": ["K", "K", "Ir", "F", "Ta"], "frac_coords": [[0.0000, 0.0000, 0.5000], [0.5000, 0.0000, 0.0000], [0.5000, 0.5000, 0.5000], [0.0000, 0.5000, 0.0000], [0.0000, 0.0000, 0.0000]], "total_magnetization_mub_per_fu": 2.64, "n_ef_per_ev_atom": 5.16, "sg": "P4/mmm, No. 123", "formation_energy_uncorrected_ev_per_atom": 1.02}

Record 6
{"formula": "CeNdTh", "functional": "GGA-PBE", "state": "relaxed", "cell": [[-1.5173, -2.7429, -1.6478], [1.8353, -2.2399, 2.0384], [-11.1650, 0.0825, 10.1434]], "species": ["Ce", "Ce", "Nd", "Nd", "Th", "Th"], "frac_coords": [[0.5000, 0.0000, 0.7409], [0.0000, 0.5000, 0.2591], [0.0000, 0.5000, 0.9081], [0.5000, 0.0000, 0.0919], [0.0000, 0.5000, 0.5826], [0.5000, 0.0000, 0.4174]], "total_magnetization_mub_per_fu": 0.00, "formation_energy_ev_per_fu": 0.14, "de_polymorph_mev_per_atom": 0.0, "n_ef_per_ev_atom": 1.95, "sg": "P4/nmm, No. 129"}

Record 7
{"formula": "MnNb2Pt", "functional": "GGA-PBE", "state": "relaxed", "cell": [[3.8101, 0.0000, 0.0000], [0.0000, 3.8101, 0.0000], [1.9051, 1.9051, 9.7504]], "species": ["Nb", "Nb", "Nb", "Nb", "Mn", "Mn", "Pt", "Pt"], "frac_coords": [[0.6215, 0.1250, 0.2500], [0.1285, 0.6250, 0.2500], [0.3750, 0.3785, 0.7500], [0.8750, 0.8715, 0.7500], [0.5000, 0.5000, 0.0000], [0.2500, 0.7500, 0.5000], [0.0000, 0.0000, 0.0000], [0.7500, 0.2500, 0.5000]], "total_magnetization_mub_per_fu": 3.17, "formation_energy_ev_per_fu": 1.04, "n_ef_per_ev_atom": 0.81, "sg": "I-42d, No. 122"}

Record 8
{"formula": "RbZnP", "functional": "GGA-PBE", "state": "relaxed", "cell": [[-3.1689, -0.8708, 5.9614], [5.4819, -2.2628, 2.5835], [0.7740, 7.7027, 1.5367]], "species": ["P", "P", "P", "P", "Zn", "Zn", "Zn", "Zn", "Rb", "Rb", "Rb", "Rb"], "frac_coords": [[0.3687, 0.1769, 0.6697], [0.8687, 0.8231, 0.8303], [0.6313, 0.8231, 0.3303], [0.1313, 0.1769, 0.1697], [0.6388, 0.9251, 0.6410], [0.8612, 0.9251, 0.1410], [0.3612, 0.0749, 0.3590], [0.1388, 0.0749, 0.8590], [0.2959, 0.6455, 0.9918], [0.2041, 0.6455, 0.4918], [0.7041, 0.3545, 0.0082], [0.7959, 0.3545, 0.5082]], "total_magnetization_mub_per_fu": 0.00, "formation_energy_ev_per_fu": -1.01, "sg": "P2_1/c, No. 14"}

Record 9
{"formula": "TbSmCo2", "functional": "GGA-PBE", "state": "relaxed", "cell": [[3.8808, 0.0000, 0.0000], [0.0000, 5.6384, 0.0000], [0.0000, 0.0000, 7.5867]], "species": ["Tb", "Tb", "Sm", "Sm", "Co", "Co", "Co", "Co"], "frac_coords": [[0.5000, 0.3684, 0.3208], [0.5000, 0.6316, 0.8208], [0.0000, 0.1324, 0.6772], [0.0000, 0.8676, 0.1772], [0.0000, 0.6460, 0.5286], [0.0000, 0.3540, 0.0286], [0.5000, 0.8405, 0.4734], [0.5000, 0.1595, 0.9734]], "total_magnetization_mub_per_fu": 0.28, "formation_energy_ev_per_fu": -0.58, "de_polymorph_mev_per_atom": 0.0, "n_ef_per_ev_atom": 1.10, "sg": "Pmc2_1, No. 26"}

Record 10
{"formula": "BaSc2Cu", "functional": "GGA-PBE", "state": "relaxed", "cell": [[5.3489, 0.0000, 0.0000], [0.0000, 4.5086, 0.0000], [0.0000, 0.0000, 4.5086]], "species": ["Ba", "Cu", "Sc", "Sc"], "frac_coords": [[0.5000, 0.5000, 0.0000], [0.5000, 0.0000, 0.5000], [0.0000, 0.0000, 0.0000], [0.0000, 0.5000, 0.5000]], "total_magnetization_mub_per_fu": 0.91, "formation_energy_ev_per_fu": 1.65, "de_polymorph_mev_per_atom": 316.8, "n_ef_per_ev_atom": 1.12, "sg": "P4/mmm, No. 123"}

Record 11
{"formula": "Zn2CuPt2", "functional": "GGA-PBE", "state": "relaxed", "cell": [[4.7191, 0.1270, -1.0421], [-1.8172, 4.3327, -1.1387], [0.0286, -0.0538, 7.5092]], "species": ["Zn", "Zn", "Zn", "Zn", "Cu", "Cu", "Pt", "Pt", "Pt", "Pt"], "frac_coords": [[0.3491, 0.3063, 0.1554], [0.1509, 0.6937, 0.3446], [0.6509, 0.6937, 0.8446], [0.8491, 0.3063, 0.6554], [0.7500, 0.0000, 0.2500], [0.2500, 0.0000, 0.7500], [0.7701, 0.2701, 0.0000], [0.2701, 0.2701, 0.5000], [0.2299, 0.7299, 0.0000], [0.7299, 0.7299, 0.5000]], "total_magnetization_mub_per_fu": 0.00, "formation_energy_ev_per_fu": -1.62, "de_polymorph_mev_per_atom": 0.0, "n_ef_per_ev_atom": 0.29, "sg": "C2/m, No. 12"}

Record 12
{"formula": "LiNdGe2", "functional": "GGA-PBE", "state": "relaxed", "cell": [[4.2570, 0.0000, 0.0000], [2.1285, 3.6867, 0.0000], [2.1285, 1.2289, 5.2109]], "species": ["Ge", "Ge", "Nd", "Li"], "frac_coords": [[0.7850, 0.7850, 0.6451], [0.2150, 0.2150, 0.3549], [0.0000, 0.0000, 0.0000], [0.5000, 0.5000, 0.5000]], "total_magnetization_mub_per_fu": 0.00, "formation_energy_ev_per_fu": -2.11, "de_polymorph_mev_per_atom": 141.4, "n_ef_per_ev_atom": 0.27, "sg": "R-3m, No. 166"}

Record 13
{"formula": "Ba2SrPdN", "functional": "GGA-PBE", "state": "relaxed", "cell": [[5.5599, 0.0000, 0.0000], [0.0000, 5.5599, 0.0000], [0.0000, 0.0000, 5.1277]], "species": ["Sr", "Ba", "Ba", "Pd", "N"], "frac_coords": [[0.0000, 0.0000, 0.5000], [0.0000, 0.5000, 0.0000], [0.5000, 0.0000, 0.0000], [0.5000, 0.5000, 0.5000], [0.0000, 0.0000, 0.0000]], "total_magnetization_mub_per_fu": 0.00, "n_ef_per_ev_atom": 0.69, "sg": "P4/mmm, No. 123", "formation_energy_uncorrected_ev_per_atom": -0.33}

Record 14
{"formula": "CsC", "functional": "GGA-PBE", "state": "relaxed", "cell": [[-0.2782, -0.5545, 4.0380], [1.8005, -3.6478, -0.3769], [3.6567, 1.7540, 0.4928]], "species": ["Cs", "C"], "frac_coords": [[0.5000, 0.5000, 0.5000], [0.0000, 0.0000, 0.0000]], "total_magnetization_mub_per_fu": 3.00, "formation_energy_ev_per_fu": 4.65, "de_polymorph_mev_per_atom": 2018.3, "sg": "Pm-3m, No. 221"}

Record 15
{"formula": "Er4Ag3Hg", "functional": "GGA-PBE", "state": "relaxed", "cell": [[-1.3080, 2.4505, 2.3145], [-4.6393, -2.2008, -0.2917], [2.4178, -6.1392, 7.8664]], "species": ["Hg", "Ag", "Ag", "Ag", "Er", "Er", "Er", "Er"], "frac_coords": [[0.5000, 0.5000, 0.0000], [0.5000, 0.0000, 0.2510], [0.5000, 0.5000, 0.5000], [0.5000, 0.0000, 0.7490], [0.0000, 0.0000, 0.5000], [0.0000, 0.5000, 0.7462], [0.0000, 0.0000, 0.0000], [0.0000, 0.5000, 0.2538]], "total_magnetization_mub_per_fu": 0.00, "formation_energy_ev_per_fu": -2.96, "de_polymorph_mev_per_atom": 0.0, "n_ef_per_ev_atom": 0.70, "sg": "Pmmm, No. 47"}

Record 16
{"formula": "Na2LaIrN", "functional": "GGA-PBE", "state": "relaxed", "cell": [[-0.2325, -3.1724, 4.7013], [-2.9040, -1.8761, -1.4096], [3.5601, -3.7445, -2.3507]], "species": ["Na", "Na", "N", "Ir", "La"], "frac_coords": [[0.0000, 0.0000, 0.5000], [0.5000, 0.0000, 0.0000], [0.0000, 0.5000, 0.0000], [0.0000, 0.0000, 0.0000], [0.5000, 0.5000, 0.5000]], "total_magnetization_mub_per_fu": 0.46, "n_ef_per_ev_atom": 0.57, "sg": "P4/mmm, No. 123", "formation_energy_uncorrected_ev_per_atom": 0.41}

Record 17
{"formula": "RuPtNF2", "functional": "GGA-PBE", "state": "relaxed", "cell": [[4.1782, 0.0000, 0.0000], [0.0000, 4.1782, 0.0000], [0.0000, 0.0000, 3.7626]], "species": ["Ru", "N", "Pt", "F", "F"], "frac_coords": [[0.0000, 0.0000, 0.0000], [0.0000, 0.0000, 0.5000], [0.5000, 0.5000, 0.5000], [0.0000, 0.5000, 0.0000], [0.5000, 0.0000, 0.0000]], "total_magnetization_mub_per_fu": 0.33, "de_polymorph_mev_per_atom": 0.0, "n_ef_per_ev_atom": 1.49, "sg": "P4/mmm, No. 123", "formation_energy_uncorrected_ev_per_atom": 0.26}

Record 18
{"formula": "SiOsS2N", "functional": "GGA-PBE", "state": "relaxed", "cell": [[-3.1825, 3.2125, -1.1210], [-2.5252, -1.2013, 3.7263], [1.5702, 2.1711, 1.7640]], "species": ["S", "S", "Os", "Si", "N"], "frac_coords": [[0.0000, 0.5000, 0.0000], [0.5000, 0.0000, 0.0000], [0.5000, 0.5000, 0.5000], [0.0000, 0.0000, 0.0000], [0.0000, 0.0000, 0.5000]], "total_magnetization_mub_per_fu": 0.50, "de_polymorph_mev_per_atom": 259.6, "n_ef_per_ev_atom": 0.85, "sg": "P4/mmm, No. 123", "formation_energy_uncorrected_ev_per_atom": 0.87}

Record 19
{"formula": "Gd2InTc", "functional": "GGA-PBE", "state": "relaxed", "cell": [[-2.6469, 1.1663, 2.0843], [1.7192, -1.2293, 2.8712], [3.5360, 6.6900, 0.7471]], "species": ["Gd", "Gd", "Tc", "In"], "frac_coords": [[0.0000, 0.0000, 0.7864], [0.0000, 0.0000, 0.2136], [0.5000, 0.5000, 0.0000], [0.5000, 0.5000, 0.5000]], "total_magnetization_mub_per_fu": 14.07, "formation_energy_ev_per_fu": -0.81, "de_polymorph_mev_per_atom": 0.0, "n_ef_per_ev_atom": 0.99, "sg": "P4/mmm, No. 123"}

Record 20
{"formula": "Ti5Mn2Al2Ga", "functional": "GGA-PBE", "state": "relaxed", "cell": [[3.0682, 0.0000, 0.0000], [0.0000, 10.1745, 0.0000], [0.0000, 0.0000, 10.1745]], "species": ["Ti", "Ti", "Ti", "Ti", "Ti", "Ti", "Ti", "Ti", "Ti", "Ti", "Mn", "Mn", "Mn", "Mn", "Al", "Al", "Al", "Al", "Ga", "Ga"], "frac_coords": [[0.5000, 0.2039, 0.0733], [0.5000, 0.7961, 0.9267], [0.5000, 0.0733, 0.7961], [0.5000, 0.7039, 0.4267], [0.5000, 0.9267, 0.2039], [0.5000, 0.2961, 0.5733], [0.5000, 0.5733, 0.7039], [0.5000, 0.4267, 0.2961], [0.5000, 0.5000, 0.0000], [0.5000, 0.0000, 0.5000], [0.0000, 0.1311, 0.6311], [0.0000, 0.8689, 0.3689], [0.0000, 0.6311, 0.8689], [0.0000, 0.3689, 0.1311], [0.0000, 0.6722, 0.1722], [0.0000, 0.3278, 0.8278], [0.0000, 0.1722, 0.3278], [0.0000, 0.8278, 0.6722], [0.0000, 0.0000, 0.0000], [0.0000, 0.5000, 0.5000]], "total_magnetization_mub_per_fu": 0.00, "formation_energy_ev_per_fu": -2.08, "n_ef_per_ev_atom": 0.55, "sg": "P4/mbm, No. 127"}

Sequential final energy output: -6.80 -4.44 -4.46 -7.43 -3.94 -5.99 -8.58 -2.89 -6.04 -4.26 -4.07 -4.51 -4.14 -2.71 -3.76 -4.54 -5.22 -5.78 -10.52 -7.04 eV per atom